[1]
DFT (PBE-GGA) results for crystalline AcHoHg4 at its relaxed geometry.

a = 4.5797 Å, b = 4.5896 Å, c = 9.0532 Å
α = 89.98°, β = 89.99°, γ = 90.00°
Positions (direct):
Ac  0.5012  0.4972  0.9982
Ho  0.0013  0.9974  0.4981
Hg  0.5014  0.9972  0.2714
Hg  0.5013  0.9973  0.7249
Hg  0.0014  0.4973  0.7243
Hg  0.0012  0.4974  0.2719

Summary:
DOS(E_F), states/eV per cell: 4.1
DFT formation energy, eV per atom: -0.20
E above lowest polymorph, meV/atom: 186
Raw total energy, Ry per atom: -0.1360

[2]
DFT (PBE-GGA) results for crystalline Mg2ScRh at its relaxed geometry.

a = 3.2473 Å, b = 3.2473 Å, c = 7.3998 Å
α = 90.00°, β = 90.00°, γ = 90.00°
Positions (direct):
Sc  0.5000  0.5000  0.6986
Mg  0.0000  0.0000  0.0087
Mg  0.5000  0.5000  0.2898
Rh  0.0000  0.0000  0.5028

Summary:
DOS(E_F), states/eV per cell: 1.7
DFT formation energy, eV per atom: -0.46
Raw total energy, Ry per atom: -0.3436

[3]
DFT (PBE-GGA) results for crystalline LiZnAgF4 at its relaxed geometry.

a = 6.0281 Å, b = 6.5222 Å, c = 6.5940 Å
α = 120.36°, β = 90.00°, γ = 117.52°
Positions (direct):
Li  0.5000  0.5000  0.5000
Li  0.0000  0.5000  0.5000
Zn  0.5000  0.0000  0.5000
Zn  0.5000  0.0000  0.0000
Ag  0.8316  0.6632  0.0816
Ag  0.1684  0.3368  0.9184
F  0.7121  0.4243  0.6625
F  0.2853  0.0092  0.2546
F  0.7239  0.0092  0.2546
F  0.7121  0.4243  0.2618
F  0.2879  0.5757  0.7382
F  0.7147  0.9908  0.7454
F  0.2761  0.9908  0.7454
F  0.2879  0.5757  0.3375

Summary:
DOS(E_F), states/eV per cell: 0.0
Formation energy without anion corrections, eV per atom: -2.08
Raw total energy, Ry per atom: -0.2952

[4]
DFT (PBE-GGA) results for crystalline Tb3Y2Ho6 at its relaxed geometry.

a = 4.7028 Å, b = 4.7028 Å, c = 16.9664 Å
α = 97.97°, β = 97.97°, γ = 90.00°
Positions (direct):
Tb  0.0000  0.0000  0.0000
Tb  0.7993  0.7993  0.5986
Tb  0.2007  0.2007  0.4014
Y  0.4537  0.4537  0.9075
Y  0.5463  0.5463  0.0925
Ho  0.1222  0.6222  0.2443
Ho  0.6222  0.1222  0.2443
Ho  0.8778  0.3778  0.7557
Ho  0.3778  0.8778  0.7557
Ho  0.6964  0.6964  0.3929
Ho  0.3036  0.3036  0.6071

Summary:
DOS(E_F), states/eV per cell: 17.9
DFT formation energy, eV per atom: 0.29
E above lowest polymorph, meV/atom: 266
Raw total energy, Ry per atom: -0.3416

[5]
DFT (PBE-GGA) results for crystalline PmSnF at its relaxed geometry.

a = 4.7864 Å, b = 4.7864 Å, c = 7.9753 Å
α = 72.54°, β = 72.54°, γ = 60.00°
Positions (direct):
Pm  0.5909  0.5909  0.2273
Pm  0.4091  0.4091  0.7727
Sn  0.8490  0.8490  0.4531
Sn  0.1510  0.1510  0.5469
F  0.6912  0.6912  0.9264
F  0.3088  0.3088  0.0736

Summary:
DOS(E_F), states/eV per cell: 1.8
Formation energy without anion corrections, eV per atom: -1.77
E above lowest polymorph, meV/atom: 142
Raw total energy, Ry per atom: -0.3903

[6]
DFT (PBE-GGA) results for crystalline Sr2LiSn4Pt3 at its relaxed geometry.

a = 4.6457 Å, b = 4.6457 Å, c = 11.0007 Å
α = 90.00°, β = 90.00°, γ = 90.00°
Positions (direct):
Sr  0.5000  0.0000  0.2536
Sr  0.0000  0.5000  0.7464
Li  0.5000  0.5000  0.5000
Sn  0.5000  0.5000  0.0000
Sn  0.0000  0.0000  0.0000
Sn  0.5000  0.0000  0.6274
Sn  0.0000  0.5000  0.3726
Pt  0.0000  0.0000  0.5000
Pt  0.5000  0.0000  0.8708
Pt  0.0000  0.5000  0.1292

Summary:
DOS(E_F), states/eV per cell: 5.1
DFT formation energy, eV per atom: -0.74
Raw total energy, Ry per atom: -0.3441

[7]
DFT (PBE-GGA) results for crystalline UAl2Mo at its relaxed geometry.

a = 4.6769 Å, b = 4.6769 Å, c = 4.6773 Å
α = 60.00°, β = 60.00°, γ = 60.00°
Last column: magnetic moment on the atom in μB.
Positions (direct):
Mo  0.5000  0.5000  0.5000  -0.41
U  0.0000  0.0000  0.0000  1.58
Al  0.2499  0.2499  0.2502  0.02
Al  0.7501  0.7501  0.7498  0.02

Summary:
DOS(E_F), states/eV per cell: 5.9
DFT formation energy, eV per atom: 0.12
Raw total energy, Ry per atom: -0.5351

[8]
DFT (PBE-GGA) results for crystalline LiAsPbS3 at its relaxed geometry.

a = 3.7705 Å, b = 8.7710 Å, c = 9.3083 Å
α = 95.69°, β = 90.00°, γ = 90.00°
Positions (direct):
Li  0.2500  0.1100  0.5798
Li  0.7500  0.8900  0.4202
As  0.2500  0.6430  0.1256
As  0.7500  0.3570  0.8744
Pb  0.2500  0.1507  0.2174
Pb  0.7500  0.8493  0.7826
S  0.7500  0.8268  0.1537
S  0.2500  0.1732  0.8463
S  0.2500  0.8223  0.5666
S  0.7500  0.1777  0.4334
S  0.7500  0.3953  0.1192
S  0.2500  0.6047  0.8808

Summary:
Formation energy without anion corrections, eV per atom: -0.50
Raw total energy, Ry per atom: -0.3140

[9]
DFT (PBE-GGA) results for crystalline Li2PaOsN4 at its relaxed geometry.

a = 3.3278 Å, b = 6.1431 Å, c = 9.4420 Å
α = 90.00°, β = 90.00°, γ = 105.72°
Positions (direct):
Li  0.4063  0.8126  0.5386
Li  0.5937  0.1874  0.0386
Li  0.5937  0.1874  0.4614
Li  0.4063  0.8126  0.9614
Pa  0.0576  0.1152  0.7500
Pa  0.9424  0.8848  0.2500
Os  0.7956  0.5912  0.7500
Os  0.2044  0.4088  0.2500
N  0.3124  0.6248  0.1166
N  0.6876  0.3752  0.6166
N  0.6876  0.3752  0.8834
N  0.3124  0.6248  0.3834
N  0.0000  0.0000  0.5000
N  0.0000  0.0000  0.0000
N  0.3974  0.7948  0.7500
N  0.6026  0.2052  0.2500

Summary:
DOS(E_F), states/eV per cell: 8.3
Formation energy without anion corrections, eV per atom: -0.30
Raw total energy, Ry per atom: -0.5535

[10]
DFT (PBE-GGA) results for crystalline LiScCdSn at its relaxed geometry.

a = 4.9124 Å, b = 4.9124 Å, c = 4.9124 Å
α = 60.00°, β = 60.00°, γ = 60.00°
Positions (direct):
Sc  0.0000  0.0000  0.0000
Li  0.5000  0.5000  0.5000
Sn  0.2500  0.2500  0.2500
Cd  0.7500  0.7500  0.7500

Summary:
DOS(E_F), states/eV per cell: 1.2
DFT formation energy, eV per atom: -0.40
E above lowest polymorph, meV/atom: 23
Raw total energy, Ry per atom: -0.2716

[11]
DFT (PBE-GGA) results for crystalline PdPtO2F at its relaxed geometry.

a = 3.8382 Å, b = 3.8382 Å, c = 4.7388 Å
α = 90.00°, β = 90.00°, γ = 90.00°
Positions (direct):
O  0.0000  0.5000  0.0000
O  0.5000  0.0000  0.0000
Pd  0.5000  0.5000  0.5000
Pt  0.0000  0.0000  0.0000
F  0.0000  0.0000  0.5000

Summary:
DOS(E_F), states/eV per cell: 10.3
Formation energy without anion corrections, eV per atom: 0.08
Raw total energy, Ry per atom: -0.3325

[12]
DFT (PBE-GGA) results for crystalline CaAcSe2 at its relaxed geometry.

a = 6.1873 Å, b = 6.1873 Å, c = 7.5301 Å
α = 114.26°, β = 114.26°, γ = 90.00°
Positions (direct):
Ca  0.5000  0.5000  0.0000
Ca  0.2500  0.7500  0.5000
Ac  0.7500  0.2500  0.5000
Ac  0.0000  0.0000  0.0000
Se  0.7415  0.7415  0.4830
Se  0.4915  0.9915  0.9830
Se  0.2585  0.2585  0.5170
Se  0.0085  0.5085  0.0170

Summary:
DOS(E_F), states/eV per cell: 3.1
Formation energy without anion corrections, eV per atom: -1.90
E above lowest polymorph, meV/atom: 8
Raw total energy, Ry per atom: -0.3799

[13]
DFT (PBE-GGA) results for crystalline TaTcAg2 at its relaxed geometry.

a = 4.8213 Å, b = 2.7221 Å, c = 5.2976 Å
α = 75.62°, β = 90.00°, γ = 90.00°
Positions (direct):
Ag  0.0000  0.9744  0.9956
Ag  0.0000  0.5256  0.5044
Ta  0.5000  0.2500  0.2500
Tc  0.5000  0.7500  0.7500

Summary:
DOS(E_F), states/eV per cell: 3.0
DFT formation energy, eV per atom: 0.39
E above lowest polymorph, meV/atom: 209
Raw total energy, Ry per atom: -0.4845